[1]
Here is a relaxed structure of CaGe4Ir4 from Alexandria. Energies are from GGA-PBE.

Summary:
- Calculated total energy: -6.49 eV/atom
- Calculated formation energy: -2.479 eV/f.u.
- Size of the total moment: 0.0000 μB per atom
- SG: I4/m

Cell lengths 4.7452, 8.4972, 8.4972 Å; angles 90.00, 90.00, 90.00 degrees
Closest atoms and distances in Å follow each position.
Atoms (fractional coordinates):
Ge 0.0000 0.8038 0.6642  5 Ir 2.45-2.63
Ir 0.0000 0.1045 0.6309  5 Ge 2.45-2.63
Ir 0.0000 0.3691 0.1045  5 Ge 2.45-2.63
Ge 0.0000 0.3358 0.8038  5 Ir 2.45-2.63
Ir 0.0000 0.6309 0.8955  5 Ge 2.45-2.63
Ca 0.5000 0.5000 0.5000  4 Ir 3.26, 4 Ge 3.30
Ca 0.0000 0.0000 0.0000  4 Ir 3.26, 4 Ge 3.30
Ir 0.5000 0.1309 0.3955  5 Ge 2.45-2.63
Ir 0.5000 0.6045 0.1309  5 Ge 2.45-2.63
Ge 0.5000 0.1642 0.6962  5 Ir 2.45-2.63
Ge 0.0000 0.6642 0.1962  5 Ir 2.45-2.63
Ge 0.5000 0.6962 0.8358  5 Ir 2.45-2.63
Ir 0.5000 0.3955 0.8691  5 Ge 2.45-2.63
Ir 0.0000 0.8955 0.3691  5 Ge 2.45-2.63
Ge 0.5000 0.8358 0.3038  5 Ir 2.45-2.63
Ge 0.0000 0.1962 0.3358  5 Ir 2.45-2.63
Ge 0.5000 0.3038 0.1642  5 Ir 2.45-2.63
Ir 0.5000 0.8691 0.6045  5 Ge 2.45-2.63


[2]
Here is a relaxed structure of ThPaAs2 from Alexandria. Energies are from GGA-PBE.

Summary:
- Calculated total energy: -6.59 eV/atom
- Calculated formation energy: -0.160 eV/f.u.
- Size of the total moment: 0.0001 μB per atom
- SG: R-3m

Cell lengths 3.2641, 3.2641, 11.0278 Å; angles 81.49, 81.49, 60.00 degrees
Closest atoms and distances in Å follow each position.
Atoms (fractional coordinates):
As 0.9108 0.9108 0.2675  1 Pa 2.91, 3 Th 3.15
Th 0.5000 0.5000 0.5000  6 As 3.15, 6 Th 3.26
Pa 0.0000 0.0000 0.0000  2 As 2.91
As 0.0892 0.0892 0.7325  1 Pa 2.91, 3 Th 3.15